[1]
meta-GGA SCAN Ta6Pb4O19, single point on PBEsol structure; uncorrected energy = -895.39 eV per formula unit; energy relative to the elements, uncorrected = -2565 meV/atom; energy above the most stable polymorph in this dataset = 0.77 eV per formula unit
1.0
7.4265 0.0000 0.0000
-3.7132 6.4659 0.0022
0.0000 -0.1425 18.2497
O Pb Ta
38 8 12
Cartesian
1.4962 5.0054 4.1458
3.7132 2.0551 7.9928
1.4550 4.9997 17.9118
5.1042 2.8486 11.7505
1.4294 0.7775 5.7661
5.9971 0.7775 5.7661
2.2919 2.8432 16.3483
-1.4213 3.4802 1.9037
2.2906 5.5786 7.9908
3.7132 0.4526 16.3749
0.0000 2.4919 17.7935
2.2170 1.3180 14.1061
5.1682 1.3237 0.3401
-2.2839 5.5459 12.4858
0.0000 2.7207 4.2271
1.4213 3.4802 1.9037
0.0000 4.2683 10.2592
3.7132 3.6027 14.0248
0.0000 5.9371 6.3757
-2.2906 5.5786 7.9908
5.1346 2.8432 16.3483
-1.4962 5.0054 4.1458
5.2094 1.3180 14.1061
3.7132 3.8315 0.4584
0.0000 5.8708 1.8770
-1.4550 4.9997 17.9118
2.2839 5.5459 12.4858
2.2583 1.3237 0.3401
0.0000 1.5830 8.0290
3.7132 0.3863 11.8762
1.4226 0.7448 10.2611
1.3910 3.4747 6.5014
-1.3910 3.4747 6.5014
6.0039 0.7448 10.2611
3.7132 4.7403 10.2229
0.0000 1.5373 12.6170
3.7132 4.7861 5.6349
2.3222 2.8486 11.7505
3.7132 1.9460 5.8851
0.0000 4.3774 12.3668
0.0000 2.3013 15.0641
1.8566 3.1617 9.1260
3.7132 4.0221 3.1878
0.0000 0.0000 0.0000
3.7132 -0.0713 9.1249
-1.8566 3.1617 9.1260
3.7132 2.0167 15.2589
1.8566 3.2330 0.0011
1.8538 0.9925 12.2096
0.0000 2.1071 6.0062
3.7132 4.2163 12.2457
1.8594 5.3309 6.0423
0.0000 4.3067 2.9930
-1.8594 5.3309 6.0423
3.7132 0.0000 0.0000
0.0000 -0.0713 9.1249
5.5727 0.9925 12.2096
-1.8566 3.2330 0.0011



[2]
meta-GGA SCAN Ta2PbO6, single point on PBEsol structure; uncorrected energy = -270.45 eV per formula unit; density of states at the Fermi level = 0.0 states/eV/cell; energy relative to the elements, uncorrected = -2679 meV/atom; energy above the most stable polymorph in this dataset = 0.25 eV per formula unit
1.0
-0.4028 -1.5845 -5.0033
-2.3675 -5.0731 1.7972
-14.3541 6.3911 -0.8684
Ta O Pb
8 24 4
Cartesian
-4.1705 -2.8217 -0.4432
-10.1219 3.0754 -1.2552
-13.5888 1.5554 -0.4947
-11.8545 -0.9979 -2.5945
-5.2699 0.7314 -1.4800
-3.5356 -1.8219 -3.5797
-12.9539 2.5552 -3.6313
-7.0025 -3.3418 -2.8192
-2.9413 -2.1934 0.9139
-6.9220 -0.0133 -1.6048
-4.3871 -0.4677 -0.2025
-11.8661 2.4288 -1.8788
-12.8469 -0.1981 -0.9679
-11.3671 -2.3905 -3.8478
-12.7373 0.2012 -3.8719
-9.1334 2.7564 -2.8889
-5.7574 2.1241 -0.2267
-7.6321 -1.8957 -3.7202
-1.9554 -1.3597 -4.3470
-15.1691 1.0932 0.2725
-5.2584 -2.6953 -2.1957
-14.1832 1.9269 -4.9884
-14.3171 2.0008 -2.2323
-9.4923 1.6292 -0.3543
-2.8074 -2.2673 -1.8422
-5.7738 -2.9139 0.6838
-4.2775 -0.0684 -3.1066
-7.9910 -3.0229 -1.1856
-13.5117 4.2838 -3.6402
-11.3507 2.6474 -4.7583
-3.6127 -4.5503 -0.4343
-10.2025 -0.2532 -2.4697
-8.1506 0.5684 -3.6770
-8.9738 -0.8349 -0.3975
-2.1573 -5.1637 -2.3441
-0.6130 -1.4939 -0.8619



[3]
meta-GGA SCAN Te2PbO, single point on PBEsol structure; uncorrected energy = -154.54 eV per formula unit; density of states at the Fermi level = 3.5 states/eV/cell; energy relative to the elements, uncorrected = 493 meV/atom; energy above the most stable polymorph in this dataset = 2.19 eV per formula unit
1.0
5.0149 0.0000 0.0000
2.5075 4.3431 0.0000
2.5075 1.4477 4.0947
Te O Pb
2 1 1
Cartesian
7.5224 4.3431 3.0710
2.5075 1.4477 1.0237
0.0000 0.0000 0.0000
5.0149 2.8954 2.0473



[4]
meta-GGA SCAN Te3PbO, single point on PBEsol structure; uncorrected energy = -188.07 eV per formula unit; density of states at the Fermi level = 5.8 states/eV/cell; energy relative to the elements, uncorrected = 1140 meV/atom
1.0
5.7859 0.0000 0.0000
0.0000 5.7859 0.0000
0.0000 0.0000 5.7859
Te Pb O
3 1 1
Cartesian
0.0000 0.0000 2.8930
0.0000 2.8930 0.0000
2.8930 0.0000 0.0000
0.0000 0.0000 0.0000
2.8930 2.8930 2.8930



[5]
meta-GGA SCAN TePb5O8, single point on PBEsol structure; uncorrected energy = -482.92 eV per formula unit; density of states at the Fermi level = 0.0 states/eV/cell; energy relative to the elements, uncorrected = -1208 meV/atom
1.0
7.4505 0.0067 0.0000
-0.1382 10.6921 0.0000
0.0000 0.0000 11.9987
Pb O Te
20 32 4
Cartesian
0.8583 10.1604 1.4508
6.5567 1.0907 4.7209
6.3923 6.1404 7.8996
6.5299 6.6886 1.4300
0.9200 4.5583 4.0991
2.8737 1.3393 4.5694
2.4453 7.9612 4.4099
2.7361 0.7911 10.0985
0.7556 9.6080 7.2778
0.7825 4.0101 10.5687
4.6527 4.8177 4.5485
4.5500 4.2653 10.7202
6.4540 0.5384 10.5479
6.2397 2.6185 1.5895
4.4386 9.3595 7.4293
4.5762 9.9077 1.9002
2.6597 5.8811 7.4502
1.0727 8.0802 10.4092
4.8670 2.7375 7.5888
2.7624 6.4334 1.2784
4.4616 7.1945 8.7241
0.1737 6.9744 4.4520
3.3443 9.0670 10.4513
0.9215 10.3564 11.0758
6.4317 3.0026 11.4092
4.8566 8.0279 0.5396
7.0026 1.0650 6.9511
3.2082 6.4077 11.0470
3.9680 1.6317 1.5474
0.8054 1.8451 9.2740
5.0498 9.8609 4.9091
1.1876 1.8759 1.8663
2.8507 3.5042 3.2746
2.4557 2.6708 11.4591
4.8438 7.2253 4.1330
6.3909 0.3423 0.9229
6.5069 8.8536 2.7247
4.7158 5.0137 6.9222
5.9187 6.1872 10.9084
2.4686 3.4735 7.8657
2.6373 8.3453 6.5888
2.2625 0.8379 7.0896
6.1247 8.8228 10.1324
6.1119 8.0202 6.5389
0.3098 9.6338 5.0476
1.2004 2.6786 5.4598
1.3937 4.5115 1.0903
4.6750 2.3534 5.4099
7.1387 3.7243 7.5467
0.8806 7.6961 0.5895
2.5965 5.6850 5.0765
4.1041 4.2911 0.9517
2.6487 3.0102 1.3911
1.0074 2.3391 7.3905
6.3049 8.3596 4.6082
4.6636 7.6885 10.6076



[6]
meta-GGA SCAN TePbO3, single point on PBEsol structure; uncorrected energy = -137.71 eV per formula unit; density of states at the Fermi level = 0.0 states/eV/cell; energy relative to the elements, uncorrected = -1196 meV/atom
1.0
-1.7337 -0.6592 4.9661
-3.5923 -3.4993 -1.7185
7.7764 -8.7462 1.5538
O Pb Te
12 4 4
Cartesian
4.0727 -11.4315 0.2686
1.1080 -2.0278 0.7605
3.8105 -5.4982 2.8645
1.4501 -4.9286 5.1466
-1.2915 -6.4552 1.3667
-3.8557 -4.5996 1.4382
0.5266 -9.9592 3.8778
2.7556 -6.9617 0.6869
3.3965 -9.3872 5.4720
-2.6654 -3.2883 3.6429
5.2700 -8.1679 3.7400
0.4466 -5.0836 -0.3923
-0.2182 -3.5750 3.6901
-0.0830 -7.5204 3.2317
2.7199 -9.3872 1.1215
-1.3035 -1.0687 0.8030
-1.2855 -4.8493 0.3610
3.5276 -7.8208 4.3987
2.4211 -5.3220 1.5757
3.7092 -11.7212 3.9610